FeBiO3 | PBEsol | optimized geometry

Values from the calculation:
**Density of states at the Fermi level**: 2.23 states/eV per cell
**V**: 11.61 Å³ per atom
**Spin magnetization**: 3.1 μB per formula unit
**DFT total energy**: -6.985 eV per atom

Cell lengths 3.873, 3.873, 3.873 Å; angles 88.67, 88.67, 88.67 degrees
Sites, in units of the cell vectors:
O 0.080 0.564 0.080
O 0.080 0.080 0.564
Bi 0.491 0.491 0.491
Fe 0.058 0.058 0.058
O 0.564 0.080 0.080